1.
A plane-wave DFT calculation with PBE was carried out for a relaxed structure of Zr4Ir3Rh.

Structure (extended XYZ):
```
8
Lattice="4.4707 0.0000 -1.2068 -0.3195 4.4655 -1.1838 -0.3682 -0.4214 7.5206" Properties=species:S:1:pos:R:3 pbc="T T T"
Ir -0.1598 2.2327 -0.5919
Ir 3.0475 0.8598 2.4053
Ir 0.7355 3.1842 2.7248
Rh 2.2354 0.0000 -0.6034
Zr 1.2815 1.3600 4.7476
Zr 2.5015 2.6841 0.3825
Zr 0.4259 0.4516 1.5777
Zr 3.3571 3.5925 3.5523
```

Summary:
ΔH_f (0 K) = -0.78 eV/atom
Space group = C2/m
Total magnetization = 0.0 Bohr magnetons per cell



2.
A plane-wave DFT calculation with PBE was carried out for a relaxed structure of HgSbBr.

Structure (extended XYZ):
```
6
Lattice="-1.8889 0.4949 -2.9683 1.8715 -5.1659 -4.2590 -6.2340 -4.2149 3.2586" Properties=species:S:1:pos:R:3 pbc="T T T"
Hg -4.2046 -6.8779 -3.9179
Hg -2.7814 -2.9475 -2.0578
Sb -0.7553 -1.4122 -3.0371
Sb 0.0034 -4.1984 -6.1971
Br -3.4200 -4.4720 0.2546
Br -1.6770 -5.8482 -3.2619
```

Summary:
E_form (uncorrected) = -154 meV/atom
Space group = P-1
Total magnetization = 0.0 Bohr magnetons per cell
Distance to the lowest polymorph of the same formula = 0.0378 eV/atom



3.
A plane-wave DFT calculation with PBE was carried out for a relaxed structure of LiAg2IBr2.

Structure (extended XYZ):
```
12
Lattice="7.2958 0.0000 0.0000 0.0000 7.7357 0.0000 0.0000 -3.8678 6.6564" Properties=species:S:1:pos:R:3 pbc="T T T"
Li 5.1308 6.2312 0.0000
Li 1.4829 1.5044 0.0000
Ag 1.2719 5.1932 2.1940
Ag 1.2719 1.3254 4.4624
Ag 4.9198 -1.3254 4.4624
Ag 4.9198 2.5425 2.1940
I 2.3604 6.5755 0.0000
I 6.0083 1.1601 0.0000
Br 5.8286 5.1445 2.1798
Br 5.8286 1.2767 4.4767
Br 2.1807 2.5912 2.1798
Br 2.1807 -1.2767 4.4767
```

Summary:
E_form (uncorrected) = -673 meV/atom
Space group = Cmc2_1
Total magnetization = 0.0 Bohr magnetons per cell



4.
A plane-wave DFT calculation with PBE was carried out for a relaxed structure of BaAgMo.

Structure (extended XYZ):
```
3
Lattice="-4.0540 -3.3022 -0.6515 3.4033 0.8035 -3.9416 1.7208 -2.3127 1.0144" Properties=species:S:1:pos:R:3 pbc="T T T"
Ag 1.4331 -1.9261 0.8448
Ba -0.9941 -2.7053 -1.4098
Mo 2.3519 -2.4929 -1.9994
```

Summary:
ΔH_f (0 K) = 1.08 eV/atom
Space group = P-6m2
Total magnetization = 0.9 Bohr magnetons per cell
Distance to the lowest polymorph of the same formula = 0.1780 eV/atom



5.
A plane-wave DFT calculation with PBE was carried out for a relaxed structure of DyLuPuIn.

Structure (extended XYZ):
```
4
Lattice="-2.5389 4.4185 -1.7461 -4.6194 -0.4511 -2.7340 -4.6383 1.5193 2.2794" Properties=species:S:1:pos:R:3 pbc="T T T"
Lu -2.9492 1.3716 -0.5502
In -8.8475 4.1149 -1.6505
Dy -5.8983 2.7433 -1.1004
Pu 0.0000 0.0000 0.0000
```

Summary:
ΔH_f (0 K) = -0.04 eV/atom
Space group = F-43m
Total magnetization = 6.6 Bohr magnetons per cell



6.
A plane-wave DFT calculation with PBE was carried out for a relaxed structure of LaNi4Ir.

Structure (extended XYZ):
```
12
Lattice="3.8854 0.0000 0.0000 0.0000 6.2695 0.0000 -1.9427 0.0000 7.5486" Properties=species:S:1:pos:R:3 pbc="T T T"
La 0.0000 1.5674 1.6625
La 1.9427 4.7021 5.8861
Ni 1.9427 3.1347 0.0000
Ni 1.9427 0.0000 0.0000
Ni 1.9427 5.8485 2.4587
Ni 0.0000 0.4210 5.0899
Ni 0.0000 2.7138 5.0899
Ni 1.9427 3.5557 2.4587
Ni 0.0000 4.7021 1.1582
Ni 1.9427 1.5674 6.3903
Ir 0.0000 4.7021 3.6101
Ir 1.9427 1.5674 3.9385
```

Summary:
ΔH_f (0 K) = -0.03 eV/atom
Space group = Cmcm
Total magnetization = 1.3 Bohr magnetons per cell
Distance to the lowest polymorph of the same formula = 0.0449 eV/atom



7.
A plane-wave DFT calculation with PBE was carried out for a relaxed structure of Mg2BeRu.

Structure (extended XYZ):
```
4
Lattice="4.9655 0.0049 0.0164 3.8052 3.1900 0.0164 1.6416 0.5980 3.6558" Properties=species:S:1:pos:R:3 pbc="T T T"
Ru 7.8093 2.8447 2.7664
Mg 8.7066 3.1716 0.0654
Mg 5.2703 1.9198 1.8118
Be 2.6031 0.9482 0.9221
```

Summary:
ΔH_f (0 K) = 0.10 eV/atom
Space group = Immm
Total magnetization = 0.0 Bohr magnetons per cell



8.
A plane-wave DFT calculation with PBE was carried out for a relaxed structure of Si2SbW.

Structure (extended XYZ):
```
4
Lattice="-2.6175 1.2209 0.1559 0.2111 -0.6633 -2.8075 -3.6769 -8.0921 1.6353" Properties=species:S:1:pos:R:3 pbc="T T T"
Sb -3.9609 -5.7903 -0.0993
Si -0.1734 -0.3817 0.0771
Si -1.6650 -3.6644 0.7405
W -2.1225 -1.7442 -0.9170
```

Summary:
E_form (uncorrected) = 477 meV/atom
Space group = Cmmm
Total magnetization = 0.0 Bohr magnetons per cell



9.
A plane-wave DFT calculation with PBE was carried out for a relaxed structure of Cu15Ni4Au.

Structure (extended XYZ):
```
20
Lattice="-1.2881 3.3485 -0.5903 -0.7999 0.3151 3.5329 16.4878 6.8924 3.1185" Properties=species:S:1:pos:R:3 pbc="T T T"
Cu -1.0440 1.8318 1.4713
Cu 2.3777 3.2622 2.1185
Cu 5.5904 4.6053 2.7261
Cu 8.8093 5.9508 3.3349
Cu 12.0221 7.2939 3.9426
Cu 1.1685 2.4320 0.0477
Cu 4.3809 3.7749 0.6552
Cu 7.5998 5.1205 1.2641
Cu 10.8188 6.4661 1.8729
Cu 14.0312 7.8090 2.4805
Cu 1.4126 0.9152 2.1093
Cu 4.6250 2.2581 2.7169
Cu 7.8439 3.6038 3.3257
Cu 11.0629 4.9494 3.9345
Cu 14.2753 6.2923 4.5421
Ni 3.4107 1.4258 0.6451
Ni 6.6308 2.7719 1.2541
Ni 9.8570 4.1205 1.8643
Ni 13.0771 5.4666 2.4734
Au 0.0000 0.0000 0.0000
```

Summary:
ΔH_f (0 K) = 0.01 eV/atom
Space group = P4/mmm
Total magnetization = 0.0 Bohr magnetons per cell



10.
A plane-wave DFT calculation with PBE was carried out for a relaxed structure of Sm5Er6Tm.

Structure (extended XYZ):
```
12
Lattice="0.8721 -4.9183 -0.5911 4.3087 -0.3221 9.0372 -9.2844 1.0566 -1.0872" Properties=species:S:1:pos:R:3 pbc="T T T"
Tm 0.0000 0.0000 0.0000
Sm -1.7793 -2.9766 0.7422
Sm -4.4632 -1.0425 2.0908
Sm 2.1544 -0.1610 4.5186
Sm 0.3596 -3.1413 5.2681
Sm -2.3243 -1.2072 6.6166
Er -2.9508 -3.5835 4.0638
Er -5.1121 -3.4218 -0.4693
Er 3.6736 -2.7013 6.4949
Er 1.5072 -2.5391 1.9512
Er 1.0085 -0.7620 7.8281
Er -1.1528 -0.6003 3.2951
```

Summary:
ΔH_f (0 K) = 0.02 eV/atom
Space group = Immm
Total magnetization = 0.0 Bohr magnetons per cell



11.
A plane-wave DFT calculation with PBE was carried out for a relaxed structure of WAu3.

Structure (extended XYZ):
```
4
Lattice="5.0462 0.0000 0.0000 0.0000 5.0462 0.0000 0.0000 0.0000 2.7853" Properties=species:S:1:pos:R:3 pbc="T T T"
Au 0.0000 0.0000 0.0000
Au 2.5231 0.0000 1.3926
Au 2.5231 2.5231 0.0000
W 0.0000 2.5231 1.3926
```

Summary:
ΔH_f (0 K) = 0.47 eV/atom
Space group = P4/mmm
Total magnetization = 0.0 Bohr magnetons per cell



12.
A plane-wave DFT calculation with PBE was carried out for a relaxed structure of TiVB.

Structure (extended XYZ):
```
3
Lattice="-0.7163 2.1353 1.1108 -2.1681 -1.0758 0.6700 4.1960 -2.5524 4.7734" Properties=species:S:1:pos:R:3 pbc="T T T"
B 1.0174 -1.2768 5.9491
Ti 0.6553 -0.4813 1.3477
V 0.1244 -0.6209 4.1124
```

Summary:
ΔH_f (0 K) = 1.04 eV/atom
Space group = I4mm
Total magnetization = 0.2 Bohr magnetons per cell
Distance to the lowest polymorph of the same formula = 1.5584 eV/atom